PBE KAcAs2, relaxed; magnetic moment = 0.00 Bohr magnetons per cell; raw total energy = -4.195 eV/atom
1.0
4.7041 0.0000 0.0000
2.3521 4.0739 0.0000
2.3521 1.3580 7.6195
As K Ac
2 1 1
Cartesian
7.0562 4.0739 6.0491 As
2.3521 1.3580 1.5703 As
4.7041 2.7159 3.8097 K
0.0000 0.0000 0.0000 Ac